Entry 1:
Below is a relaxed structure of Ho4Sc3Se8, with properties calculated at the PBE level.

- Uncorrected formation energy: -1.74 eV per atom
- Final energy: -6.0853 eV per atom
- ρ: 6.7 g/cm3

abc: 7.9582 7.9326 7.9326
angles: 90.04 120.08 120.08
With the nearest neighbours (Å) after each atom.
Atoms (fractional coordinates):
Se: 0.9915 0.7394 0.7394  1 Sc 2.76, 4 Ho 2.81-2.88
Se: 0.4880 0.7397 0.7397  3 Sc 2.76-2.81, 2 Ho 2.85-2.87
Se: 0.5000 0.7457 0.2543  3 Sc 2.76-2.80, 3 Ho 2.81-2.85
Se: 0.5120 0.2603 0.2603  3 Sc 2.76-2.81, 2 Ho 2.85-2.87
Se: 0.5000 0.2543 0.7457  3 Sc 2.76-2.80, 3 Ho 2.81-2.85
Se: 0.0085 0.2606 0.2606  1 Sc 2.76, 4 Ho 2.81-2.88
Se: 0.0000 0.7440 0.2560  3 Ho 2.80-2.87, 2 Sc 2.81
Se: 0.0000 0.2560 0.7440  3 Ho 2.80-2.87, 2 Sc 2.81
Sc: 0.5000 0.5000 0.0000  6 Se 2.80-2.81
Sc: 0.5000 0.5000 0.5000  6 Se 2.76
Sc: 0.5000 0.0000 0.5000  6 Se 2.80-2.81
Ho: 0.0000 0.0000 0.0000  6 Se 2.87-2.88
Ho: 0.0000 0.0000 0.5000  6 Se 2.80-2.81
Ho: 0.0000 0.5000 0.0000  6 Se 2.80-2.81
Ho: 0.5000 0.0000 0.0000  6 Se 2.85



Entry 2:
Below is a relaxed structure of Ho4ScSe5, with properties calculated at the PBE level.

- Uncorrected formation energy: -1.69 eV per atom
- Final energy: -5.8917 eV per atom
- ρ: 7.9 g/cm3

abc: 4.0189 4.0189 14.5462
angles: 97.94 97.94 90.00
With the nearest neighbours (Å) after each atom.
Atoms (fractional coordinates):
Sc: 0.0000 0.0000 0.0000  6 Se 2.73-2.84
Se: 0.5000 0.5000 0.0000  4 Sc 2.84, 2 Ho 2.89
Se: 0.7024 0.7024 0.4047  6 Ho 2.85-2.93
Se: 0.2976 0.2976 0.5953  6 Ho 2.85-2.93
Se: 0.0956 0.0956 0.1911  1 Sc 2.73, 5 Ho 2.84-2.85
Se: 0.9044 0.9044 0.8089  1 Sc 2.73, 5 Ho 2.84-2.85
Ho: 0.6011 0.6011 0.2023  6 Se 2.85-2.89
Ho: 0.8050 0.8050 0.6100  6 Se 2.84-2.93
Ho: 0.3989 0.3989 0.7977  6 Se 2.85-2.89
Ho: 0.1950 0.1950 0.3900  6 Se 2.84-2.93



Entry 3:
Below is a relaxed structure of HoScSe2, with properties calculated at the PBE level.

- Uncorrected formation energy: -1.65 eV per atom
- Final energy: -6.1235 eV per atom
- ρ: 6.9 g/cm3

abc: 3.9748 3.9748 6.8475
angles: 73.13 73.13 60.00
With the nearest neighbours (Å) after each atom.
Atoms (fractional coordinates):
Se: 0.7455 0.7455 0.7636  3 Sc 2.76, 3 Ho 2.86
Se: 0.2545 0.2545 0.2364  3 Sc 2.76, 3 Ho 2.86
Sc: 0.0000 0.0000 0.0000  6 Se 2.76
Ho: 0.5000 0.5000 0.5000  6 Se 2.86